Record 1
# GGA-PBE Nb3SbS, optimized geometry
data_Nb3SbS
_chemical_formula_sum 'Nb6 Sb2 S2'
_space_group_name_H-M_alt 'P 1'
_space_group_IT_number 1
_cell_length_a 4.797
_cell_length_b 6.639
_cell_length_c 6.732
_cell_angle_alpha 107.81
_cell_angle_beta 110.87
_cell_angle_gamma 90.00
loop_
_space_group_symop_operation_xyz
'x,y,z'
loop_
_atom_site_label
_atom_site_type_symbol
_atom_site_fract_x
_atom_site_fract_y
_atom_site_fract_z
Nb1 Nb 0.051 0.225 0.103
Nb2 Nb 0.805 0.346 0.610
Nb3 Nb 0.600 0.904 0.201
Nb4 Nb 0.195 0.654 0.390
Nb5 Nb 0.949 0.775 0.897
Nb6 Nb 0.400 0.096 0.799
Sb1 Sb 0.612 0.462 0.223
Sb2 Sb 0.388 0.538 0.777
S1 S 0.168 0.996 0.336
S2 S 0.832 0.004 0.664
# energy relative to the lowest polymorph listed for this composition = 0 meV/atom
# uncorrected formation energy = -23 kJ per mole of atoms
# crystal system = monoclinic
# final energy = -79.257 eV for the cell shown

***

Record 2
# GGA-PBE Li2Ta2Br, optimized geometry
data_Li2Ta2Br
_chemical_formula_sum 'Li4 Ta4 Br2'
_space_group_name_H-M_alt 'P 1'
_space_group_IT_number 1
_cell_length_a 7.926
_cell_length_b 7.926
_cell_length_c 3.127
_cell_angle_alpha 90.00
_cell_angle_beta 90.00
_cell_angle_gamma 90.00
loop_
_space_group_symop_operation_xyz
'x,y,z'
loop_
_atom_site_label
_atom_site_type_symbol
_atom_site_fract_x
_atom_site_fract_y
_atom_site_fract_z
Br1 Br 0.500 0.500 0.000
Br2 Br 0.000 0.000 0.000
Ta1 Ta 0.893 0.393 0.500
Ta2 Ta 0.393 0.107 0.500
Ta3 Ta 0.607 0.893 0.500
Ta4 Ta 0.107 0.607 0.500
Li1 Li 0.314 0.814 0.000
Li2 Li 0.186 0.314 0.000
Li3 Li 0.686 0.186 0.000
Li4 Li 0.814 0.686 0.000
# energy relative to the lowest polymorph listed for this composition = 535 meV/atom
# uncorrected formation energy = 75 kJ per mole of atoms
# crystal system = tetragonal
# final energy = -50.631 eV for the cell shown

***

Record 3
# GGA-PBE ThSnBiO6, optimized geometry
data_ThSnBiO6
_chemical_formula_sum 'Th2 Sn2 Bi2 O12'
_space_group_name_H-M_alt 'P 1'
_space_group_IT_number 1
_cell_length_a 5.123
_cell_length_b 5.123
_cell_length_c 10.560
_cell_angle_alpha 90.00
_cell_angle_beta 90.00
_cell_angle_gamma 90.00
loop_
_space_group_symop_operation_xyz
'x,y,z'
loop_
_atom_site_label
_atom_site_type_symbol
_atom_site_fract_x
_atom_site_fract_y
_atom_site_fract_z
O1 O 0.791 0.209 0.835
O2 O 0.291 0.291 0.335
O3 O 0.709 0.709 0.335
O4 O 0.812 0.188 0.487
O5 O 0.184 0.816 0.177
O6 O 0.209 0.791 0.835
O7 O 0.688 0.688 0.987
O8 O 0.188 0.812 0.487
O9 O 0.312 0.312 0.987
O10 O 0.316 0.316 0.677
O11 O 0.684 0.684 0.677
O12 O 0.816 0.184 0.177
Sn1 Sn 0.500 0.500 0.833
Sn2 Sn 0.000 0.000 0.333
Th1 Th 0.000 0.000 0.669
Th2 Th 0.500 0.500 0.169
Bi1 Bi 0.500 0.500 0.499
Bi2 Bi 0.000 0.000 0.999
# uncorrected formation energy = -197 kJ per mole of atoms
# crystal system = tetragonal
# final energy = -126.925 eV for the cell shown

***

Record 4
# GGA-PBE ScMnCl2, optimized geometry
data_ScMnCl2
_chemical_formula_sum 'Sc1 Mn1 Cl2'
_space_group_name_H-M_alt 'P 1'
_space_group_IT_number 1
_cell_length_a 4.852
_cell_length_b 4.852
_cell_length_c 4.852
_cell_angle_alpha 60.00
_cell_angle_beta 60.00
_cell_angle_gamma 60.00
loop_
_space_group_symop_operation_xyz
'x,y,z'
loop_
_atom_site_label
_atom_site_type_symbol
_atom_site_fract_x
_atom_site_fract_y
_atom_site_fract_z
Cl1 Cl 0.000 0.000 0.000
Cl2 Cl 0.250 0.250 0.250
Mn1 Mn 0.500 0.500 0.500
Sc1 Sc 0.750 0.750 0.750
# energy relative to the lowest polymorph listed for this composition = 846 meV/atom
# uncorrected formation energy = -7 kJ per mole of atoms
# crystal system = cubic
# final energy = -19.465 eV for the cell shown

***

Record 5
# GGA-PBE La2AsPd2, optimized geometry
data_La2AsPd2
_chemical_formula_sum 'La2 As1 Pd2'
_space_group_name_H-M_alt 'P 1'
_space_group_IT_number 1
_cell_length_a 3.924
_cell_length_b 3.924
_cell_length_c 8.372
_cell_angle_alpha 76.45
_cell_angle_beta 76.45
_cell_angle_gamma 90.00
loop_
_space_group_symop_operation_xyz
'x,y,z'
loop_
_atom_site_label
_atom_site_type_symbol
_atom_site_fract_x
_atom_site_fract_y
_atom_site_fract_z
As1 As 0.000 0.000 0.000
La1 La 0.607 0.607 0.787
La2 La 0.393 0.393 0.213
Pd1 Pd 0.750 0.250 0.500
Pd2 Pd 0.250 0.750 0.500
# energy relative to the lowest polymorph listed for this composition = 28 meV/atom
# crystal system = tetragonal
# final energy = -29.448 eV for the cell shown

***

Record 6
# GGA-PBE GaSi3H, optimized geometry
data_GaSi3H
_chemical_formula_sum 'Ga1 Si3 H1'
_space_group_name_H-M_alt 'P 1'
_space_group_IT_number 1
_cell_length_a 4.802
_cell_length_b 4.802
_cell_length_c 4.802
_cell_angle_alpha 90.00
_cell_angle_beta 90.00
_cell_angle_gamma 90.00
loop_
_space_group_symop_operation_xyz
'x,y,z'
loop_
_atom_site_label
_atom_site_type_symbol
_atom_site_fract_x
_atom_site_fract_y
_atom_site_fract_z
Si1 Si 0.000 0.000 0.500
Si2 Si 0.000 0.500 0.000
Si3 Si 0.500 0.000 0.000
H1 H 0.500 0.500 0.500
Ga1 Ga 0.000 0.000 0.000
# energy relative to the lowest polymorph listed for this composition = 904 meV/atom
# crystal system = cubic
# final energy = -15.175 eV for the cell shown

***

Question: Among the records above, which one has the lowest final energy?
Answer: ThSnBiO6